A plane-wave DFT calculation with PBEsol was carried out for a relaxed structure of FePSe2.

## Properties
- uncorrected energy (eV/atom) = -5.104
- magnetization (μB/cell) = 2.4

Cell: 4.5262 4.5262 3.0343 Å, 90.00 90.00 90.00°
Closest atoms and distances in Å follow each position.
Space group P4/mmm (No. 123)
Symmetry-distinct sites (fractional):
Fe1 0.0000 0.0000 0.0000  8 Se 2.72, 2 Fe 3.03
P1 0.5000 0.5000 0.0000  8 Se 2.72, 2 P 3.03
Se1 0.0000 0.5000 0.5000  4 Fe 2.72, 4 P 2.72, 2 Se 3.03

=====

A plane-wave DFT calculation with PBEsol was carried out for a relaxed structure of FePSe3.

## Properties
- uncorrected energy (eV/atom) = -4.680
- magnetization (μB/cell) = 2.0

Cell: 4.5628 4.5628 4.5628 Å, 90.00 90.00 90.00°
Closest atoms and distances in Å follow each position.
Space group Pm-3m (No. 221)
Symmetry-distinct sites (fractional):
Fe1 0.0000 0.0000 0.0000  6 Se 2.28
P1 0.5000 0.5000 0.5000  12 Se 3.23
Se1 0.0000 0.0000 0.5000  2 Fe 2.28

=====

A plane-wave DFT calculation with PBEsol was carried out for a relaxed structure of Fe2PSe.

## Properties
- uncorrected energy (eV/atom) = -7.095
- magnetization (μB/cell) = 3.8

Cell: 2.8085 3.1639 11.6342 Å, 90.00 90.00 90.00°
Closest atoms and distances in Å follow each position.
Space group Imm2 (No. 44)
Symmetry-distinct sites (fractional):
Fe1 0.0000 0.0000 0.0000  2 P 2.23, 4 Se 2.49
Fe2 0.0000 0.5000 0.3054  4 P 2.23
P1 0.0000 0.5000 0.8650  6 Fe 2.23
Se1 0.0000 0.0000 0.6131  6 Fe 2.49-2.64

=====

A plane-wave DFT calculation with PBEsol was carried out for a relaxed structure of FeSnPSe2.

## Properties
- uncorrected energy (eV/atom) = -4.162
- magnetization (μB/cell) = 4.1

Cell: 5.1660 5.1660 4.9062 Å, 90.00 90.00 90.00°
Closest atoms and distances in Å follow each position.
Space group P4/mmm (No. 123)
Symmetry-distinct sites (fractional):
Fe1 0.0000 0.0000 0.0000  8 Se 3.56, 4 P 3.65
Sn1 0.5000 0.5000 0.5000  2 P 2.45, 4 Se 2.58
P1 0.5000 0.5000 0.0000  2 Sn 2.45
Se1 0.0000 0.5000 0.5000  2 Sn 2.58

=====

A plane-wave DFT calculation with PBEsol was carried out for a relaxed structure of FeSi2P.

## Properties
- uncorrected energy (eV/atom) = -6.412
- magnetization (μB/cell) = 8.0

Cell: 4.8544 5.1134 8.5878 Å, 90.00 90.00 90.00°
Closest atoms and distances in Å follow each position.
Space group Fmmm (No. 69)
Symmetry-distinct sites (fractional):
Fe1 0.0000 0.0000 0.0000  4 P 2.43-2.56, 4 Si 2.50
Si1 0.0000 0.2500 0.2500  4 Si 2.43-2.56, 2 Fe 2.50, 2 P 2.50
P1 0.0000 0.0000 0.5000  4 Fe 2.43-2.56, 4 Si 2.50

=====

A plane-wave DFT calculation with PBEsol was carried out for a relaxed structure of FeSi2P.

## Properties
- uncorrected energy (eV/atom) = -6.281
- magnetization (μB/cell) = 1.6

Cell: 3.1324 3.9394 4.0131 Å, 90.00 90.00 90.00°
Closest atoms and distances in Å follow each position.
Space group Pmmm (No. 47)
Symmetry-distinct sites (fractional):
Fe1 0.0000 0.0000 0.0000  8 Si 2.52-2.81, 4 P 2.55
Si1 0.0000 0.5000 0.5000  4 P 2.52, 4 Si 2.55, 4 Fe 2.81
Si2 0.5000 0.5000 0.0000  4 Fe 2.52, 4 Si 2.55, 4 P 2.81
P1 0.5000 0.0000 0.5000  8 Si 2.52-2.81, 4 Fe 2.55

=====

A plane-wave DFT calculation with PBEsol was carried out for a relaxed structure of FeSiP.

## Properties
- uncorrected energy (eV/atom) = -6.910
- magnetization (μB/cell) = 0.1

Cell: 3.1053 3.1053 7.1077 Å, 90.00 90.00 90.00°
Closest atoms and distances in Å follow each position.
Space group I4mm (No. 107)
Symmetry-distinct sites (fractional):
Fe1 0.0000 0.0000 0.0000  5 P 2.32-2.52, 5 Si 2.44-2.46
Si1 0.0000 0.0000 0.6574  5 P 2.35-2.51, 5 Fe 2.44-2.46
P1 0.0000 0.0000 0.3271  5 Fe 2.32-2.52, 5 Si 2.35-2.51

=====

A plane-wave DFT calculation with PBEsol was carried out for a relaxed structure of Fe2SiP.

## Properties
- uncorrected energy (eV/atom) = -7.740
- magnetization (μB/cell) = 0.0

Cell: 3.8526 2.6437 4.5204 Å, 90.00 113.40 90.00°
Closest atoms and distances in Å follow each position.
Space group P2/m (No. 10)
Symmetry-distinct sites (fractional):
Fe1 0.0000 0.0000 0.0000  2 Si 2.32, 4 P 2.34
Fe2 0.0000 0.5000 0.5000  2 P 2.32, 4 Si 2.34
Si1 0.5000 0.0000 0.5000  6 Fe 2.32-2.34
P1 0.5000 0.5000 0.0000  6 Fe 2.32-2.34

=====

A plane-wave DFT calculation with PBEsol was carried out for a relaxed structure of SmFeP.

## Properties
- uncorrected energy (eV/atom) = -7.662
- formation enthalpy at 0 K (kJ per mole of atoms) = -101
- magnetization (μB/cell) = 0.0

Cell: 3.7631 3.7631 7.3461 Å, 90.00 90.00 90.00°
Closest atoms and distances in Å follow each position.
Space group P4/nmm (No. 129, origin choice 2)
Symmetry-distinct sites (fractional):
Sm1 0.2500 0.2500 0.1895  4 P 2.89, 4 Fe 2.96
Fe1 0.2500 0.7500 0.5000  4 P 2.21
P1 0.2500 0.2500 0.6585  4 Fe 2.21

=====

A plane-wave DFT calculation with PBEsol was carried out for a relaxed structure of SrFeP2.

## Properties
- ΔE to the lowest computed polymorph (eV per atom) = 0.8653
- uncorrected energy (eV/atom) = -5.346
- formation enthalpy at 0 K (kJ per mole of atoms) = 24
- magnetization (μB/cell) = 6.3

Cell: 3.9666 3.9666 9.3050 Å, 90.00 90.00 90.00°
Closest atoms and distances in Å follow each position.
Space group I-4m2 (No. 119)
Symmetry-distinct sites (fractional):
Sr1 0.0000 0.0000 0.0000  8 P 2.80-3.06, 4 Fe 3.06
Fe1 0.0000 0.5000 0.2500  8 P 2.80-3.06, 4 Sr 3.06
P1 0.0000 0.0000 0.5000  4 Sr 2.80, 4 Fe 3.06, 4 P 3.06
P2 0.0000 0.5000 0.7500  4 Fe 2.80, 4 Sr 3.06, 4 P 3.06

=====

A plane-wave DFT calculation with PBEsol was carried out for a relaxed structure of SrFe2P.

## Properties
- uncorrected energy (eV/atom) = -6.754
- formation enthalpy at 0 K (kJ per mole of atoms) = -35
- magnetization (μB/cell) = 8.0

Cell: 3.8837 3.8837 16.0512 Å, 90.00 90.00 120.00°
Closest atoms and distances in Å follow each position.
Space group R3m (No. 160, hexagonal axes)
Symmetry-distinct sites (fractional):
Sr1 0.0000 0.0000 0.0000  4 Fe 3.09-3.19, 4 P 3.09-3.18
Fe1 0.0000 0.0000 0.4989  3 Fe 2.28, 3 P 2.28
Fe2 0.0000 0.0000 0.8077  3 Fe 2.28, 3 P 2.39
P1 0.0000 0.0000 0.1928  6 Fe 2.28-2.39

=====

A plane-wave DFT calculation with PBEsol was carried out for a relaxed structure of SrFeP.

## Properties
- uncorrected energy (eV/atom) = -5.736
- formation enthalpy at 0 K (kJ per mole of atoms) = -20
- magnetization (μB/cell) = 1.6

Cell: 3.1191 3.1191 10.7106 Å, 90.00 90.00 90.00°
Closest atoms and distances in Å follow each position.
Space group I4mm (No. 107)
Symmetry-distinct sites (fractional):
Sr1 0.0000 0.0000 0.0000  5 Fe 3.04-3.20, 5 P 3.07-3.17, 4 Sr 3.12
Fe1 0.0000 0.0000 0.2837  4 P 2.33
P1 0.0000 0.0000 0.7130  4 Fe 2.33